A PBEsol-optimized structure of As8S9, computed with SCAN.

Cell lengths 9.044, 9.544, 9.705 Å; angles 90.00, 102.82, 90.00 degrees
Fractional positions:
As 0.680 0.022 0.370
As 0.820 0.022 0.630
As 0.320 0.978 0.630
As 0.180 0.978 0.370
As 0.942 0.324 0.442
As 0.558 0.324 0.558
As 0.058 0.676 0.558
As 0.442 0.676 0.442
As 0.355 0.428 0.175
As 0.145 0.428 0.825
As 0.645 0.572 0.825
As 0.855 0.572 0.175
As 0.450 0.233 0.028
As 0.050 0.233 0.972
As 0.550 0.767 0.972
As 0.950 0.767 0.028
S 0.481 0.164 0.383
S 0.019 0.164 0.617
S 0.519 0.836 0.617
S 0.981 0.836 0.383
S 0.750 0.447 0.500
S 0.250 0.553 0.500
S 0.829 0.166 0.277
S 0.671 0.166 0.723
S 0.171 0.834 0.723
S 0.329 0.834 0.277
S 0.130 0.332 0.186
S 0.370 0.332 0.814
S 0.870 0.668 0.814
S 0.630 0.668 0.186
S 0.250 0.577 0.000
S 0.750 0.423 0.000
S 0.750 0.914 0.000
S 0.250 0.086 0.000

The space-group type is P2/c, No. 13. The calculation puts the final energy at -502.0 eV for the cell shown.